Cu2ReIr after structural relaxation. Source: the Alexandria database, functional PBE.

Calculated values
energy above the most stable polymorph in this dataset = 368.2 meV per atom
E_form = 0.43 eV/atom
M_tot = 0.000 μB per formula unit
volume = 13.25 Å³ per atom

Cell lengths 4.3044, 4.3044, 2.8612 Å; angles 90.00, 90.00, 90.00 degrees
Last column: nearest neighbours and their distance in Å.
Space group P4/mmm (No. 123)
Unique sites:
Cu  0.0000  0.5000  0.0000 x2  4 Re 2.58, 4 Ir 2.58, 2 Cu 2.86
Re  0.0000  0.0000  0.5000 x1  8 Cu 2.58, 2 Re 2.86
Ir  0.5000  0.5000  0.5000 x1  8 Cu 2.58, 2 Ir 2.86